# 1
## BaErMg2 (PBE-GGA)

Data for a relaxed structure of BaErMg2.

The structure in POSCAR format:
```
BaErMg2
1.0
5.7080 0.0000 0.0000
2.8540 4.9433 0.0000
2.8540 1.6478 4.6606
Mg Ba Er
2 1 1
direct
0.2500 0.2500 0.2500 Mg
0.7500 0.7500 0.7500 Mg
0.5000 0.5000 0.5000 Ba
0.0000 0.0000 0.0000 Er
```

## Properties
formation energy from the elements	0.0654	eV/atom
relative energy among the computed polymorphs	0.0793	eV per atom
SG	Fm-3m
E_tot	-2.35	eV/atom
DOS at the Fermi energy	4.8	states/eV per cell

---

# 2
## BaErMg2 (PBE-GGA)

Data for a relaxed structure of BaErMg2.

The structure in POSCAR format:
```
BaErMg2
1.0
-2.8006 -1.9372 1.3487
0.5849 -3.3339 1.3992
1.0109 2.8544 11.1723
Mg Ba Er
2 1 1
direct
0.7428 0.7428 0.7716 Mg
0.2572 0.2572 0.2284 Mg
0.5000 0.5000 0.5000 Ba
0.0000 0.0000 0.0000 Er
```

## Properties
formation energy from the elements	0.1520	eV/atom
relative energy among the computed polymorphs	0.1659	eV per atom
SG	R-3m
E_tot	-2.27	eV/atom
DOS at the Fermi energy	3.6	states/eV per cell

---

# 3
## BaErMg (PBE-GGA)

Data for a relaxed structure of BaErMg.

The structure in POSCAR format:
```
BaErMg
1.0
-2.5529 2.8527 0.4731
-2.6584 -2.5636 1.1134
7.0164 1.4479 13.4048
Er Mg Ba
2 2 2
direct
0.2853 0.2853 0.5706 Er
0.7147 0.7147 0.4294 Er
0.1534 0.1534 0.3067 Mg
0.8466 0.8466 0.6933 Mg
0.5679 0.5679 0.1358 Ba
0.4321 0.4321 0.8642 Ba
```

## Properties
formation energy from the elements	0.0411	eV/atom
relative energy among the computed polymorphs	0.0000	eV per atom
SG	I4/mmm
E_tot	-2.65	eV/atom
DOS at the Fermi energy	6.2	states/eV per cell

---

# 4
## BaErMg4 (PBE-GGA)

Data for a relaxed structure of BaErMg4.

The structure in POSCAR format:
```
BaErMg4
1.0
-2.2034 4.8712 3.2858
-5.3523 -0.5566 3.2284
0.1189 -0.1353 6.2727
Mg Ba Er
4 1 1
direct
0.6260 0.6260 0.1219 Mg
0.6260 0.1219 0.6260 Mg
0.6260 0.6260 0.6260 Mg
0.1219 0.6260 0.6260 Mg
0.2500 0.2500 0.2500 Ba
0.0000 0.0000 0.0000 Er
```

## Properties
formation energy from the elements	-0.0137	eV/atom
SG	F-43m
E_tot	-2.16	eV/atom
DOS at the Fermi energy	5.6	states/eV per cell

---

# 5
## BaErMgPb (PBE-GGA)

Data for a relaxed structure of BaErMgPb.

The structure in POSCAR format:
```
BaErMgPb
1.0
5.6918 0.0000 0.0000
2.8459 4.9293 0.0000
2.8459 1.6431 4.6474
Pb Mg Ba Er
1 1 1 1
direct
0.0000 0.0000 0.0000 Pb
0.5000 0.5000 0.5000 Mg
0.7500 0.7500 0.7500 Ba
0.2500 0.2500 0.2500 Er
```

## Properties
formation energy from the elements	-0.1859	eV/atom
SG	F-43m
E_tot	-3.13	eV/atom
DOS at the Fermi energy	3.3	states/eV per cell

---

# 6
## Ba3Er3MgSe8 (PBE-GGA)

Data for a relaxed structure of Ba3Er3MgSe8.

The structure in POSCAR format:
```
Ba3Er3MgSe8
1.0
8.3736 -0.0021 0.0013
-4.1887 7.2524 -0.0278
0.0024 -4.8087 7.5079
Ba Er Mg Se
3 3 1 8
direct
0.0000 0.0000 0.0000 Ba
0.0000 0.5000 0.0000 Ba
0.5000 0.5000 0.0000 Ba
0.5000 0.0000 0.5000 Er
0.5000 0.5000 0.5000 Er
0.0000 0.5000 0.5000 Er
0.0000 0.0000 0.5000 Mg
0.2630 0.5260 0.2890 Se
0.7370 0.4740 0.7110 Se
0.7657 0.5314 0.2950 Se
0.2343 0.4686 0.7050 Se
0.7657 0.0292 0.2949 Se
0.2343 0.9708 0.7051 Se
0.2636 0.0292 0.2949 Se
0.7364 0.9708 0.7051 Se
```

## Properties
SG	R-3m
uncorrected formation energy	-1.8077	eV/atom
E_tot	-5.07	eV/atom
DOS at the Fermi energy	3.6	states/eV per cell

---

# 7
## Ba2ErMgSe5 (PBE-GGA)

Data for a relaxed structure of Ba2ErMgSe5.

The structure in POSCAR format:
```
Ba2ErMgSe5
1.0
4.3778 0.0000 0.0000
-2.1889 9.3100 0.0000
0.0000 0.0000 13.2785
Ba Er Mg Se
4 2 2 10
direct
0.8698 0.7395 0.8125 Ba
0.1108 0.2216 0.6863 Ba
0.1302 0.2605 0.3125 Ba
0.8892 0.7784 0.1863 Ba
0.7910 0.5820 0.5147 Er
0.2090 0.4180 0.0147 Er
0.5537 0.1073 0.9497 Mg
0.4463 0.8927 0.4497 Mg
0.3580 0.7160 0.0040 Se
0.6894 0.3787 0.8731 Se
0.4960 0.9920 0.7766 Se
0.2897 0.5793 0.6551 Se
0.9442 0.8885 0.5519 Se
0.6420 0.2840 0.5040 Se
0.3106 0.6213 0.3731 Se
0.5040 0.0080 0.2766 Se
0.7103 0.4207 0.1551 Se
0.0558 0.1115 0.0519 Se
```

## Properties
SG	Cmc2_1
uncorrected formation energy	-1.6502	eV/atom
E_tot	-4.70	eV/atom
DOS at the Fermi energy	15.8	states/eV per cell

---

# 8
## Ba2ErMg3Sn4 (PBE-GGA)

Data for a relaxed structure of Ba2ErMg3Sn4.

The structure in POSCAR format:
```
Ba2ErMg3Sn4
1.0
5.0471 0.0000 0.0000
0.0000 5.0471 0.0000
0.0000 0.0000 12.1837
Ba Er Mg Sn
2 1 3 4
direct
0.5000 0.0000 0.2310 Ba
0.0000 0.5000 0.7690 Ba
0.5000 0.5000 0.5000 Er
0.0000 0.0000 0.5000 Mg
0.5000 0.0000 0.8752 Mg
0.0000 0.5000 0.1248 Mg
0.5000 0.5000 0.0000 Sn
0.0000 0.0000 0.0000 Sn
0.5000 0.0000 0.6395 Sn
0.0000 0.5000 0.3604 Sn
```

## Properties
formation energy from the elements	-0.5172	eV/atom
SG	P-4m2
E_tot	-3.44	eV/atom
DOS at the Fermi energy	3.9	states/eV per cell

---

# 9
## Ba2ErMgTe5 (PBE-GGA)

Data for a relaxed structure of Ba2ErMgTe5.

The structure in POSCAR format:
```
Ba2ErMgTe5
1.0
4.6358 0.0000 0.0000
-2.3179 10.0766 0.0000
0.0000 0.0000 14.0843
Ba Er Mg Te
4 2 2 10
direct
0.8717 0.7433 0.8153 Ba
0.1132 0.2263 0.6881 Ba
0.1283 0.2567 0.3153 Ba
0.8868 0.7737 0.1881 Ba
0.7923 0.5845 0.5162 Er
0.2077 0.4155 0.0162 Er
0.5597 0.1195 0.9441 Mg
0.4403 0.8805 0.4441 Mg
0.3569 0.7138 0.0061 Te
0.6939 0.3879 0.8681 Te
0.4961 0.9923 0.7714 Te
0.2907 0.5814 0.6602 Te
0.9444 0.8888 0.5544 Te
0.6431 0.2862 0.5061 Te
0.3061 0.6121 0.3681 Te
0.5039 0.0077 0.2714 Te
0.7093 0.4186 0.1602 Te
0.0556 0.1112 0.0544 Te
```

## Properties
SG	Cmc2_1
uncorrected formation energy	-1.3192	eV/atom
E_tot	-4.18	eV/atom
DOS at the Fermi energy	13.1	states/eV per cell

---

# 10
## Ba3Er3MgTe8 (PBE-GGA)

Data for a relaxed structure of Ba3Er3MgTe8.

The structure in POSCAR format:
```
Ba3Er3MgTe8
1.0
-3.7486 -1.9673 -7.9109
3.5065 -6.5323 5.0528
-8.1181 4.0084 2.8471
Ba Er Mg Te
3 3 1 8
direct
0.0000 0.0000 0.0000 Ba
0.0000 0.5000 0.0000 Ba
0.5000 0.5000 0.0000 Ba
0.5000 0.0000 0.5000 Er
0.5000 0.5000 0.5000 Er
0.0000 0.5000 0.5000 Er
0.0000 0.0000 0.5000 Mg
0.2621 0.5241 0.2862 Te
0.7379 0.4759 0.7138 Te
0.7634 0.5269 0.2907 Te
0.2366 0.4731 0.7093 Te
0.7634 0.0272 0.2906 Te
0.2366 0.9728 0.7094 Te
0.2638 0.0272 0.2906 Te
0.7362 0.9728 0.7094 Te
```

## Properties
SG	R-3m
uncorrected formation energy	-1.4182	eV/atom
E_tot	-4.50	eV/atom
DOS at the Fermi energy	3.9	states/eV per cell

---

# 11
## BaErMgTl (PBE-GGA)

Data for a relaxed structure of BaErMgTl.

The structure in POSCAR format:
```
BaErMgTl
1.0
5.7061 0.0000 0.0000
2.8530 4.9416 0.0000
2.8530 1.6472 4.6590
Mg Tl Ba Er
1 1 1 1
direct
0.0000 0.0000 0.0000 Mg
0.5000 0.5000 0.5000 Tl
0.2500 0.2500 0.2500 Ba
0.7500 0.7500 0.7500 Er
```

## Properties
formation energy from the elements	-0.1053	eV/atom
SG	F-43m
E_tot	-2.72	eV/atom
DOS at the Fermi energy	3.1	states/eV per cell